MgP2Pt: relaxed, PBE.

Computed properties:
- DOS(E_F): 2.7 states/eV/f.u.
- Space group: F-43m
- Final energy: -4.511 eV/atom
- ΔH_f (0 K): 0.103 eV/atom
- Crystal system: cubic

Unit cell a=6.342 b=6.342 c=6.342 alpha=90.00 beta=90.00 gamma=90.00
Positions (direct):
Mg (0.000, 0.000, 0.000)
Mg (0.000, 0.500, 0.500)
Mg (0.500, 0.000, 0.500)
Mg (0.500, 0.500, 0.000)
P (0.000, 0.000, 0.500)
P (0.000, 0.500, 0.000)
P (0.250, 0.250, 0.750)
P (0.250, 0.750, 0.250)
P (0.500, 0.000, 0.000)
P (0.500, 0.500, 0.500)
P (0.750, 0.250, 0.250)
P (0.750, 0.750, 0.750)
Pt (0.250, 0.250, 0.250)
Pt (0.250, 0.750, 0.750)
Pt (0.750, 0.250, 0.750)
Pt (0.750, 0.750, 0.250)

=====

MgP2Pt: relaxed, PBE.

Computed properties:
- DOS(E_F): 1.3 states/eV/f.u.
- Space group: Pm
- Final energy: -4.939 eV/atom
- ΔH_f (0 K): -0.325 eV/atom
- Crystal system: monoclinic

Unit cell a=4.149 b=3.233 c=5.369 alpha=90.00 beta=102.84 gamma=90.00
Positions (direct):
Mg (0.000, 0.000, 0.000)
P (0.408, 0.500, 0.698)
P (0.659, 0.000, 0.517)
Pt (0.541, 0.500, 0.148)

=====

Mg2PPt: relaxed, PBE.

Computed properties:
- DOS(E_F): 0.9 states/eV/f.u.
- Space group: P2/m
- Final energy: -4.207 eV/atom
- ΔH_f (0 K): -0.547 eV/atom
- Crystal system: monoclinic

Unit cell a=2.976 b=3.637 c=6.017 alpha=90.00 beta=90.22 gamma=90.00
Positions (direct):
Mg (0.001, 0.000, 0.255)
Mg (0.999, 0.000, 0.745)
P (0.500, 0.500, 0.000)
Pt (0.500, 0.500, 0.500)

=====

> DOS(E_F) of number 3 (Mg2PPt)?

0.9 states/eV/f.u.